Material: BeTl4Ag
Method: DFT, PBE-GGA
State: relaxed

Cell: 6.3185 6.3185 6.3185 Å, 60.00 60.00 60.00°
Closest atoms and distances in Å follow each position.
Fractional coordinates of all 6 atoms:
Tl 0.3751 0.8748 0.3751  6 Tl 3.16
Be 0.0000 0.0000 0.0000  12 Tl 3.70, 4 Ag 3.87
Ag 0.7500 0.7500 0.7500  12 Tl 3.70, 4 Be 3.87
Tl 0.8748 0.3751 0.3751  6 Tl 3.16
Tl 0.3751 0.3751 0.8748  6 Tl 3.16
Tl 0.3751 0.3751 0.3751  6 Tl 3.16

For the spin magnetization, the calculation gives 0.000 μB per formula unit. As for the formation energy: 0.710 eV per atom.